The following is a DFT calculation (GGA+U) of an optimized crystal structure of MnTl2Br2F4.

Cell: 6.407 6.407 6.407 Å, 99.81 114.51 114.51°
Element x y z (fractional)
1 Mn 0.000 0.000 0.000
2 F 0.379 0.189 0.189
3 F 0.000 0.189 0.811
4 F 0.621 0.811 0.811
5 F 0.000 0.811 0.189
6 Tl 0.500 0.250 0.750
7 Tl 0.500 0.750 0.250
8 Br 0.000 0.675 0.675
9 Br 0.000 0.325 0.325

uncorrected energy	-4.1711	eV/atom
crystal system	tetragonal